VASP calculation (PBE-GGA) on a relaxed structure of ZrHg2Te.

a = 3.197 Å, b = 3.197 Å, c = 9.912 Å
α = 90.00°, β = 90.00°, γ = 90.00°
Fractional positions:
Zr1 0.500 0.500 0.750
Hg1 0.000 0.000 0.962
Hg2 0.000 0.000 0.538
Te1 0.500 0.500 0.250

The calculation puts the total DFT energy (no corrections) at -0.110 hartree per atom. The value obtained for the volume is 101.3 Å³/cell. The formation energy without anion corrections is 80 meV/atom.